PBE-GGA PmZn2Pt, relaxed; size of the total moment = 0.000 μB/atom; ΔH_f (0 K) = -0.59 eV per atom; total energy = -3.921 eV/atom
1.0
-2.189 -2.982 2.264
0.980 -4.202 -0.433
2.859 -2.011 4.270
Zn Pt Pm
2 1 1
Cartesian
0.882 -6.938 4.176
0.769 -2.257 1.924
0.825 -4.597 3.050
0.000 0.000 0.000